[1]
Here is a relaxed structure of NaPdAuSCl from Alexandria via LeMat-Bulk. Energies are from GGA-PBE.

The density of states at the Fermi level is 3.9 states/eV/cell. The calculation puts the uncorrected formation energy at -0.5873 eV/atom. The crystal system is orthorhombic. For the distance to the lowest polymorph of the same formula, the calculation gives 21.9 meV/atom.

abc: 3.5627 3.5593 16.4116
angles: 90.00 90.00 90.00
Fractional positions:
Na  0.0000  0.0000  0.0000
Na  0.0000  0.5000  0.5000
Pd  0.0000  0.0000  0.6654
Pd  0.0000  0.5000  0.1654
Au  0.5000  0.0000  0.2850
Au  0.5000  0.5000  0.7850
S  0.5000  0.0000  0.1446
S  0.5000  0.5000  0.6446
Cl  0.5000  0.0000  0.4308
Cl  0.5000  0.5000  0.9308

[2]
Here is a relaxed structure of AlTlAu from Alexandria via LeMat-Bulk. Energies are from GGA-PBE.

The calculation puts the energy of formation at -61 meV/atom. The density of states at the Fermi level is 2.2 states/eV/cell. The crystal system is monoclinic. For the distance to the lowest polymorph of the same formula, the calculation gives 141.7 meV/atom.

abc: 11.8530 3.4086 3.3619
angles: 90.00 91.83 90.00
Fractional positions:
Al  0.0000  0.0000  0.0000
Al  0.5000  0.5000  0.0000
Tl  0.2115  0.5000  0.8935
Tl  0.7115  0.0000  0.8935
Au  0.4073  0.0000  0.4835
Au  0.9073  0.5000  0.4835

[3]
Here is a relaxed structure of MnTlSe from Alexandria via LeMat-Bulk. Energies are from GGA-PBE.

The density of states at the Fermi level is 1.2 states/eV/cell. The calculation puts the uncorrected formation energy at -0.0805 eV/atom. The crystal system is trigonal. For the distance to the lowest polymorph of the same formula, the calculation gives 0.0 meV/atom.

abc: 4.1110 4.1110 5.3523
angles: 90.00 90.00 120.00
Fractional positions:
Mn  0.0000  0.0000  0.0000
Tl  0.3333  0.6667  0.6206
Se  0.6667  0.3333  0.1455

[4]
Here is a relaxed structure of Pa8AlTc6 from Alexandria via LeMat-Bulk. Energies are from GGA-PBE.

The calculation puts the energy of formation at 28 meV/atom. The density of states at the Fermi level is 21.3 states/eV/cell. The crystal system is trigonal.

abc: 6.9592 6.9592 6.9592
angles: 81.44 81.44 81.44
Fractional positions:
Pa  0.1335  0.3877  0.6895
Pa  0.2485  0.2485  0.2485
Pa  0.3105  0.8666  0.6123
Pa  0.3877  0.6895  0.1335
Pa  0.6123  0.3105  0.8666
Pa  0.6895  0.1335  0.3877
Pa  0.7515  0.7515  0.7515
Pa  0.8666  0.6123  0.3105
Al  0.5000  0.5000  0.5000
Tc  0.0437  0.9304  0.3051
Tc  0.0696  0.6949  0.9563
Tc  0.3051  0.0437  0.9304
Tc  0.6949  0.9563  0.0696
Tc  0.9304  0.3051  0.0437
Tc  0.9563  0.0696  0.6949

[5]
Here is a relaxed structure of CePrDyTm from Alexandria via LeMat-Bulk. Energies are from GGA-PBE.

The calculation puts the energy of formation at 158 meV/atom. The density of states at the Fermi level is 39.8 states/eV/cell. The crystal system is cubic.

abc: 8.0396 8.0396 8.0396
angles: 90.00 90.00 90.00
Fractional positions:
Ce  0.0000  0.0000  0.0000
Ce  0.0000  0.5000  0.5000
Ce  0.5000  0.0000  0.5000
Ce  0.5000  0.5000  0.0000
Pr  0.0000  0.0000  0.5000
Pr  0.0000  0.5000  0.0000
Pr  0.5000  0.0000  0.0000
Pr  0.5000  0.5000  0.5000
Dy  0.2500  0.2500  0.7500
Dy  0.2500  0.7500  0.2500
Dy  0.7500  0.2500  0.2500
Dy  0.7500  0.7500  0.7500
Tm  0.2500  0.2500  0.2500
Tm  0.2500  0.7500  0.7500
Tm  0.7500  0.2500  0.7500
Tm  0.7500  0.7500  0.2500

[6]
Here is a relaxed structure of GdLuMnCd from Alexandria via LeMat-Bulk. Energies are from GGA-PBE.

The calculation puts the energy of formation at -21 meV/atom. The density of states at the Fermi level is 20.8 states/eV/cell. The crystal system is cubic.

abc: 7.2571 7.2571 7.2571
angles: 90.00 90.00 90.00
Fractional positions:
Gd  0.0000  0.0000  0.0000
Gd  0.0000  0.5000  0.5000
Gd  0.5000  0.0000  0.5000
Gd  0.5000  0.5000  0.0000
Lu  0.0000  0.0000  0.5000
Lu  0.0000  0.5000  0.0000
Lu  0.5000  0.0000  0.0000
Lu  0.5000  0.5000  0.5000
Mn  0.2500  0.2500  0.2500
Mn  0.2500  0.7500  0.7500
Mn  0.7500  0.2500  0.7500
Mn  0.7500  0.7500  0.2500
Cd  0.2500  0.2500  0.7500
Cd  0.2500  0.7500  0.2500
Cd  0.7500  0.2500  0.2500
Cd  0.7500  0.7500  0.7500

[7]
Here is a relaxed structure of Tb3Ho3Pt2 from Alexandria via LeMat-Bulk. Energies are from GGA-PBE.

The calculation puts the energy of formation at -603 meV/atom. The density of states at the Fermi level is 21.2 states/eV/cell. The crystal system is orthorhombic.

abc: 6.8585 6.8585 18.3103
angles: 90.00 90.00 147.96
Fractional positions:
Tb  0.0570  0.9430  0.5878
Tb  0.0570  0.9430  0.9122
Tb  0.2873  0.7127  0.7500
Tb  0.7127  0.2873  0.2500
Tb  0.9430  0.0570  0.0878
Tb  0.9430  0.0570  0.4122
Ho  0.3294  0.6706  0.5566
Ho  0.3294  0.6706  0.9434
Ho  0.4370  0.5630  0.2500
Ho  0.5630  0.4370  0.7500
Ho  0.6706  0.3294  0.0566
Ho  0.6706  0.3294  0.4434
Pt  0.2903  0.7097  0.1347
Pt  0.2903  0.7097  0.3653
Pt  0.7097  0.2903  0.6347
Pt  0.7097  0.2903  0.8653

[8]
Here is a relaxed structure of CuSi2Rh from Alexandria via LeMat-Bulk. Energies are from GGA-PBE.

The density of states at the Fermi level is 5.5 states/eV/cell. The calculation puts the uncorrected formation energy at -0.2761 eV/atom. The crystal system is trigonal.

abc: 3.9522 3.9522 12.8635
angles: 90.00 90.00 120.00
Fractional positions:
Cu  0.0000  0.0000  0.0000
Cu  0.3333  0.6667  0.6667
Cu  0.6667  0.3333  0.3333
Si  0.0000  0.0000  0.5939
Si  0.0000  0.0000  0.7876
Si  0.3333  0.6667  0.2606
Si  0.3333  0.6667  0.4543
Si  0.6667  0.3333  0.1210
Si  0.6667  0.3333  0.9273
Rh  0.0000  0.0000  0.2016
Rh  0.3333  0.6667  0.8683
Rh  0.6667  0.3333  0.5349

[9]
Here is a relaxed structure of BaNa2ScF from Alexandria via LeMat-Bulk. Energies are from GGA-PBE.

The density of states at the Fermi level is 2.6 states/eV/cell. The calculation puts the uncorrected formation energy at 0.6698 eV/atom. The crystal system is tetragonal.

abc: 7.0195 7.0195 6.3451
angles: 90.00 90.00 90.00
Fractional positions:
Ba  0.0000  0.0000  0.0000
Na  0.0000  0.5000  0.0000
Na  0.5000  0.0000  0.0000
Sc  0.0000  0.0000  0.5000
F  0.5000  0.5000  0.5000

[10]
Here is a relaxed structure of NaSr2Ca2 from Alexandria via LeMat-Bulk. Energies are from GGA-PBE.

The calculation puts the energy of formation at 16 meV/atom. The density of states at the Fermi level is 9.9 states/eV/cell. The crystal system is tetragonal. For the distance to the lowest polymorph of the same formula, the calculation gives 0.0 meV/atom.

abc: 4.5191 4.5191 22.4944
angles: 90.00 90.00 90.00
Fractional positions:
Na  0.0000  0.0000  0.0000
Na  0.5000  0.5000  0.5000
Sr  0.0000  0.0000  0.4007
Sr  0.0000  0.0000  0.5993
Sr  0.5000  0.5000  0.0993
Sr  0.5000  0.5000  0.9007
Ca  0.0000  0.0000  0.2060
Ca  0.0000  0.0000  0.7940
Ca  0.5000  0.5000  0.2940
Ca  0.5000  0.5000  0.7060

[11]
Here is a relaxed structure of Nd2InBr from Alexandria via LeMat-Bulk. Energies are from GGA-PBE.

The density of states at the Fermi level is 3.6 states/eV/cell. The calculation puts the uncorrected formation energy at -0.7834 eV/atom. The crystal system is tetragonal. For the distance to the lowest polymorph of the same formula, the calculation gives 0.0 meV/atom.

abc: 3.6068 3.6068 8.6261
angles: 90.00 90.00 90.00
Fractional positions:
Nd  0.0000  0.0000  0.2426
Nd  0.0000  0.0000  0.7574
In  0.5000  0.5000  0.0000
Br  0.5000  0.5000  0.5000

[12]
Here is a relaxed structure of Re2SiTe from Alexandria via LeMat-Bulk. Energies are from GGA-PBE.

The density of states at the Fermi level is 5.9 states/eV/cell. The calculation puts the uncorrected formation energy at 0.7678 eV/atom. The crystal system is tetragonal. For the distance to the lowest polymorph of the same formula, the calculation gives 465.1 meV/atom.

abc: 4.1267 4.1267 7.7156
angles: 90.00 90.00 90.00
Fractional positions:
Re  0.0000  0.0000  0.0000
Re  0.0000  0.5000  0.2500
Re  0.5000  0.0000  0.7500
Re  0.5000  0.5000  0.5000
Si  0.0000  0.5000  0.7500
Si  0.5000  0.0000  0.2500
Te  0.0000  0.0000  0.5000
Te  0.5000  0.5000  0.0000

[13]
Here is a relaxed structure of Er4MgOs from Alexandria via LeMat-Bulk. Energies are from GGA-PBE.

The calculation puts the energy of formation at 8 meV/atom. The density of states at the Fermi level is 12.2 states/eV/cell. The crystal system is monoclinic. For the distance to the lowest polymorph of the same formula, the calculation gives 212.7 meV/atom.

abc: 11.1055 4.0133 8.7194
angles: 90.00 111.36 90.00
Fractional positions:
Er  0.1177  0.0000  0.4038
Er  0.1612  0.5000  0.8184
Er  0.3388  0.0000  0.1816
Er  0.3823  0.5000  0.5962
Er  0.6177  0.5000  0.4038
Er  0.6612  0.0000  0.8184
Er  0.8388  0.5000  0.1816
Er  0.8823  0.0000  0.5962
Mg  0.0000  0.0000  0.0000
Mg  0.5000  0.5000  0.0000
Os  0.0000  0.5000  0.5000
Os  0.5000  0.0000  0.5000

[14]
Here is a relaxed structure of PHS from Alexandria via LeMat-Bulk. Energies are from GGA-PBE.

The density of states at the Fermi level is 0.8 states/eV/cell. The crystal system is triclinic. For the distance to the lowest polymorph of the same formula, the calculation gives 173.5 meV/atom.

abc: 2.5618 3.8407 5.4215
angles: 104.59 103.21 90.02
Fractional positions:
P  0.0000  0.0000  0.0000
H  0.0387  0.3901  0.0807
S  0.8045  0.8978  0.5951

[15]
Here is a relaxed structure of PmBeC from Alexandria via LeMat-Bulk. Energies are from GGA-PBE.

The calculation puts the energy of formation at 866 meV/atom. The density of states at the Fermi level is 2.7 states/eV/cell. The crystal system is tetragonal. For the distance to the lowest polymorph of the same formula, the calculation gives 998.8 meV/atom.

abc: 2.9347 2.9347 9.5421
angles: 90.00 90.00 90.00
Fractional positions:
Pm  0.0000  0.0000  0.0000
Pm  0.5000  0.5000  0.5000
Be  0.0000  0.0000  0.2760
Be  0.5000  0.5000  0.7760
C  0.0000  0.0000  0.7191
C  0.5000  0.5000  0.2191

[16]
Here is a relaxed structure of Ca2LaSm from Alexandria via LeMat-Bulk. Energies are from GGA-PBE.

The calculation puts the energy of formation at 89 meV/atom. The density of states at the Fermi level is 20.1 states/eV/cell. The crystal system is trigonal. For the distance to the lowest polymorph of the same formula, the calculation gives 57.6 meV/atom.

abc: 3.7296 3.7296 37.5833
angles: 90.00 90.00 120.00
Fractional positions:
Ca  0.0000  0.0000  0.0000
Ca  0.0000  0.0000  0.1635
Ca  0.3333  0.6667  0.6667
Ca  0.3333  0.6667  0.8302
Ca  0.6667  0.3333  0.3333
Ca  0.6667  0.3333  0.4969
La  0.0000  0.0000  0.5819
La  0.3333  0.6667  0.2486
La  0.6667  0.3333  0.9153
Sm  0.0000  0.0000  0.7482
Sm  0.3333  0.6667  0.4149
Sm  0.6667  0.3333  0.0815

[17]
Here is a relaxed structure of La2Re from Alexandria via LeMat-Bulk. Energies are from GGA-PBE.

The calculation puts the energy of formation at 917 meV/atom. The density of states at the Fermi level is 18.2 states/eV/cell. The crystal system is hexagonal. For the distance to the lowest polymorph of the same formula, the calculation gives 759.3 meV/atom.

abc: 6.7677 6.7677 8.0576
angles: 90.00 90.00 120.00
Fractional positions:
La  0.0000  0.0000  0.0000
La  0.0000  0.0000  0.5000
La  0.1846  0.3692  0.2500
La  0.1846  0.8154  0.2500
La  0.3692  0.1846  0.7500
La  0.6308  0.8154  0.2500
La  0.8154  0.1846  0.7500
La  0.8154  0.6308  0.7500
Re  0.3333  0.6667  0.6075
Re  0.3333  0.6667  0.8925
Re  0.6667  0.3333  0.1075
Re  0.6667  0.3333  0.3925

[18]
Here is a relaxed structure of Th6RePb2 from Alexandria via LeMat-Bulk. Energies are from GGA-PBE.

The calculation puts the energy of formation at -200 meV/atom. The density of states at the Fermi level is 8.3 states/eV/cell. The crystal system is hexagonal.

abc: 8.8170 8.8170 4.0070
angles: 90.00 90.00 120.00
Fractional positions:
Th  0.0000  0.2427  0.0000
Th  0.0000  0.6046  0.5000
Th  0.2427  0.0000  0.0000
Th  0.3954  0.3954  0.5000
Th  0.6046  0.0000  0.5000
Th  0.7573  0.7573  0.0000
Re  0.0000  0.0000  0.5000
Pb  0.3333  0.6667  0.0000
Pb  0.6667  0.3333  0.0000

[19]
Here is a relaxed structure of KTa3Tl from Alexandria via LeMat-Bulk. Energies are from GGA-PBE.

The calculation puts the energy of formation at 2898 meV/atom. The density of states at the Fermi level is 6.3 states/eV/cell. The crystal system is cubic. For the distance to the lowest polymorph of the same formula, the calculation gives 425.2 meV/atom.

abc: 4.7238 4.7238 4.7238
angles: 90.00 90.00 90.00
Fractional positions:
K  0.0000  0.0000  0.0000
Ta  0.0000  0.0000  0.5000
Ta  0.0000  0.5000  0.0000
Ta  0.5000  0.0000  0.0000
Tl  0.5000  0.5000  0.5000

[20]
Here is a relaxed structure of Ce3PmGa8 from Alexandria via LeMat-Bulk. Energies are from GGA-PBE.

The calculation puts the energy of formation at -537 meV/atom. The density of states at the Fermi level is 18.6 states/eV/cell. The crystal system is trigonal.

abc: 9.6816 9.6816 9.6816
angles: 33.55 33.55 33.55
Fractional positions:
Ce  0.0000  0.0000  0.0000
Ce  0.1225  0.1225  0.1225
Ce  0.6270  0.6270  0.6270
Pm  0.4999  0.4999  0.4999
Ga  0.0625  0.0625  0.5611
Ga  0.0625  0.5611  0.0625
Ga  0.0630  0.5627  0.5627
Ga  0.3121  0.3121  0.3121
Ga  0.5611  0.0625  0.0625
Ga  0.5627  0.0630  0.5627
Ga  0.5627  0.5627  0.0630
Ga  0.8124  0.8124  0.8124